[1]
Density functional theory data (PBE-GGA) for a relaxed Rb2PuSnS5 crystal.

Cell lengths 9.8021, 9.8021, 14.6594 Å; angles 90.00, 90.00, 155.98 degrees
Atoms (fractional coordinates):
Rb1 0.1115 0.8885 0.5000
Rb2 0.1405 0.8595 0.1542
Rb3 0.8595 0.1405 0.6542
Rb4 0.8885 0.1115 0.0000
Pu1 0.2072 0.7928 0.8643
Pu2 0.7928 0.2072 0.3643
Sn1 0.4406 0.5594 0.2524
Sn2 0.5594 0.4406 0.7524
S1 0.0513 0.9487 0.8563
S2 0.2929 0.7071 0.4794
S3 0.3140 0.6860 0.2335
S4 0.3352 0.6648 0.8355
S5 0.4978 0.5022 0.6165
S6 0.5022 0.4978 0.1165
S7 0.6648 0.3352 0.3355
S8 0.6860 0.3140 0.7335
S9 0.7071 0.2929 0.9794
S10 0.9487 0.0513 0.3563

Output
Raw formation energy in meV per atom: -1009
Crystal system: orthorhombic
Electronic total energy in eV per atom: -5.55



[2]
Density functional theory data (PBE-GGA) for a relaxed La5Bi4Sb crystal.

Cell lengths 12.4050, 12.4050, 12.4050 Å; angles 158.20, 149.00, 38.22 degrees
Atoms (fractional coordinates):
La1 0.0000 0.0000 0.0000
La2 0.2004 0.2004 0.0000
La3 0.4022 0.4022 0.0000
La4 0.5978 0.5978 0.0000
La5 0.7996 0.7996 0.0000
Bi1 0.1000 0.6000 0.5000
Bi2 0.3010 0.8010 0.5000
Bi3 0.6990 0.1990 0.5000
Bi4 0.9000 0.4000 0.5000
Sb1 0.5000 0.0000 0.5000

Output
Raw formation energy in meV per atom: -1100
Crystal system: orthorhombic
Electronic total energy in eV per atom: -5.53



[3]
Density functional theory data (PBE-GGA) for a relaxed Li2Sb2Au crystal.

Cell lengths 6.8352, 6.8352, 6.8352 Å; angles 143.80, 143.80, 52.13 degrees
Atoms (fractional coordinates):
Li1 0.2500 0.7500 0.5000
Li2 0.7500 0.2500 0.5000
Sb1 0.1091 0.1091 0.0000
Sb2 0.8909 0.8909 0.0000
Au1 0.5000 0.5000 0.0000

Output
Polymorph energy (0 for the lowest one) in eV/atom: 0.3611
Raw formation energy in meV per atom: -5
Crystal system: tetragonal
Electronic total energy in eV per atom: -3.07



[4]
Density functional theory data (PBE-GGA) for a relaxed LaMg14Mo crystal.

Cell lengths 6.4727, 6.4727, 10.2316 Å; angles 90.00, 90.00, 120.00 degrees
Atoms (fractional coordinates):
La1 0.0000 0.0000 0.0000
Mg1 0.0170 0.5085 0.0000
Mg2 0.1634 0.3267 0.2702
Mg3 0.1634 0.3267 0.7298
Mg4 0.1634 0.8366 0.2702
Mg5 0.1634 0.8366 0.7298
Mg6 0.4915 0.5085 0.0000
Mg7 0.4915 0.9830 0.0000
Mg8 0.5040 0.0080 0.5000
Mg9 0.5040 0.4960 0.5000
Mg10 0.6667 0.3333 0.2351
Mg11 0.6667 0.3333 0.7649
Mg12 0.6733 0.8366 0.2702
Mg13 0.6733 0.8366 0.7298
Mg14 0.9920 0.4960 0.5000
Mo1 0.0000 0.0000 0.5000

Output
Polymorph energy (0 for the lowest one) in eV/atom: 0.0304
DFT formation energy in eV per atom: 0.1363
Crystal system: hexagonal
Electronic total energy in eV per atom: -2.24



[5]
Density functional theory data (PBE-GGA) for a relaxed Cs5Sb3Au3 crystal.

Cell lengths 11.8284, 11.8284, 5.0005 Å; angles 90.00, 90.00, 120.00 degrees
Atoms (fractional coordinates):
Cs1 0.0000 0.7437 0.0000
Cs2 0.2563 0.2563 0.0000
Cs3 0.3333 0.6667 0.0000
Cs4 0.6667 0.3333 0.0000
Cs5 0.7437 0.0000 0.0000
Sb1 0.0000 0.3743 0.0000
Sb2 0.3743 0.0000 0.0000
Sb3 0.6257 0.6257 0.0000
Au1 0.0000 0.3049 0.5000
Au2 0.3049 0.0000 0.5000
Au3 0.6951 0.6951 0.5000

Output
Raw formation energy in meV per atom: -346
Crystal system: hexagonal
Electronic total energy in eV per atom: -2.75



[6]
Density functional theory data (PBE-GGA) for a relaxed Zn2InBr crystal.

Cell lengths 6.3885, 6.3885, 6.3885 Å; angles 140.26, 140.26, 57.45 degrees
Atoms (fractional coordinates):
Zn1 0.2500 0.7500 0.5000
Zn2 0.7500 0.2500 0.5000
In1 0.0000 0.0000 0.0000
Br1 0.5000 0.5000 0.0000

Output
Polymorph energy (0 for the lowest one) in eV/atom: 0.1823
Raw formation energy in meV per atom: 37
Crystal system: tetragonal
Electronic total energy in eV per atom: -1.70



[7]
Density functional theory data (PBE-GGA) for a relaxed Nd4Sm3Tm5 crystal.

Cell lengths 6.2182, 7.1648, 8.7793 Å; angles 90.12, 90.02, 90.04 degrees
Atoms (fractional coordinates):
Nd1 0.1683 0.2487 0.1685
Nd2 0.3310 0.5004 0.8291
Nd3 0.6690 0.4996 0.1709
Nd4 0.8317 0.7513 0.8315
Sm1 0.0000 0.0000 0.5000
Sm2 0.1687 0.7515 0.1683
Sm3 0.8313 0.2485 0.8317
Tm1 0.0000 0.5000 0.5000
Tm2 0.3345 0.0003 0.8295
Tm3 0.5004 0.2481 0.5002
Tm4 0.4996 0.7519 0.4998
Tm5 0.6655 0.9997 0.1705

Output
Polymorph energy (0 for the lowest one) in eV/atom: 0.0000
DFT formation energy in eV per atom: 0.0190
Crystal system: triclinic
Electronic total energy in eV per atom: -4.61



[8]
Density functional theory data (PBE-GGA) for a relaxed Sc3InPt crystal.

Cell lengths 6.8286, 6.8286, 6.8286 Å; angles 90.00, 90.00, 90.00 degrees
Atoms (fractional coordinates):
Sc1 0.0000 0.0000 0.0000
Sc2 0.2697 0.2697 0.2697
Sc3 0.2697 0.2697 0.7303
Sc4 0.2697 0.7303 0.2697
Sc5 0.2697 0.7303 0.7303
Sc6 0.7303 0.2697 0.2697
Sc7 0.7303 0.2697 0.7303
Sc8 0.7303 0.7303 0.2697
Sc9 0.7303 0.7303 0.7303
In1 0.0000 0.0000 0.5000
In2 0.0000 0.5000 0.0000
In3 0.5000 0.0000 0.0000
Pt1 0.0000 0.5000 0.5000
Pt2 0.5000 0.0000 0.5000
Pt3 0.5000 0.5000 0.0000

Output
Polymorph energy (0 for the lowest one) in eV/atom: 0.0000
DFT formation energy in eV per atom: -0.6400
Crystal system: cubic
Electronic total energy in eV per atom: -6.19



[9]
Density functional theory data (PBE-GGA) for a relaxed Pr3Br crystal.

Cell lengths 3.5840, 3.7098, 10.2820 Å; angles 90.00, 90.00, 90.00 degrees
Atoms (fractional coordinates):
Pr1 0.0000 0.0000 0.0000
Pr2 0.0000 0.5000 0.3014
Pr3 0.5000 0.5000 0.7427
Br1 0.5000 0.0000 0.4846

Output
Polymorph energy (0 for the lowest one) in eV/atom: 0.0000
Raw formation energy in meV per atom: -411
Crystal system: orthorhombic
Electronic total energy in eV per atom: -4.41



[10]
Density functional theory data (PBE-GGA) for a relaxed Tb4PmDy2Ho crystal.

Cell lengths 9.4940, 9.4940, 6.8043 Å; angles 110.99, 110.99, 88.55 degrees
Atoms (fractional coordinates):
Tb1 0.2481 0.2511 0.4985
Tb2 0.2493 0.7504 0.9985
Tb3 0.2496 0.7507 0.5015
Tb4 0.2511 0.2481 0.9985
Tb5 0.7489 0.7519 0.0015
Tb6 0.7504 0.2493 0.4985
Tb7 0.7507 0.2496 0.0015
Tb8 0.7519 0.7489 0.5015
Pm1 0.0000 0.5000 0.0000
Pm2 0.5000 0.0000 0.5000
Dy1 0.0000 0.5000 0.5000
Dy2 0.5000 0.0000 0.0000
Dy3 0.5000 0.5000 0.0000
Dy4 0.5000 0.5000 0.5000
Ho1 0.0000 0.0000 0.0000
Ho2 0.0000 0.0000 0.5000

Output
DFT formation energy in eV per atom: 0.4316
Crystal system: monoclinic
Electronic total energy in eV per atom: -4.20



[11]
Density functional theory data (PBE-GGA) for a relaxed Y4HgTe3 crystal.

Cell lengths 7.6344, 7.6344, 4.2425 Å; angles 90.00, 90.00, 108.08 degrees
Atoms (fractional coordinates):
Y1 0.2388 0.2388 0.5000
Y2 0.2423 0.7577 0.0000
Y3 0.7577 0.2423 0.0000
Y4 0.7612 0.7612 0.5000
Hg1 0.0000 0.0000 0.0000
Te1 0.0000 0.5000 0.5000
Te2 0.5000 0.0000 0.5000
Te3 0.5000 0.5000 0.0000

Output
Raw formation energy in meV per atom: -1128
Crystal system: orthorhombic
Electronic total energy in eV per atom: -5.58



[12]
Density functional theory data (PBE-GGA) for a relaxed LaPa2CrS8 crystal.

Cell lengths 5.9800, 8.2111, 6.1661 Å; angles 90.00, 91.92, 90.00 degrees
Atoms (fractional coordinates):
La1 0.0000 0.0000 0.0000
Pa1 0.5000 0.2594 0.5000
Pa2 0.5000 0.7406 0.5000
Cr1 0.0000 0.5000 0.0000
S1 0.2247 0.2867 0.1646
S2 0.2247 0.7133 0.1646
S3 0.2619 0.5000 0.6772
S4 0.2763 0.0000 0.6357
S5 0.7237 0.0000 0.3643
S6 0.7381 0.5000 0.3228
S7 0.7753 0.2867 0.8354
S8 0.7753 0.7133 0.8354

Output
Raw formation energy in meV per atom: -1363
Crystal system: monoclinic
Electronic total energy in eV per atom: -6.91